Entry from the Alexandria database: a relaxed structure of K2IrPbO6 (PBE).

Values from the calculation:
ΔE_f (raw) in eV/f.u.: -9.57
Symmetry: Pmmn
Electronic total energy in eV for the cell shown: -108.16
DOS at the Fermi energy in states/eV/atom: 0.56
Density in Mg/m³: 5.870

```
K2IrPbO6
1.0
6.108 0.000 0.000
0.000 8.595 0.000
0.000 0.000 6.182
K Ir Pb O
4 2 2 12
direct
0.250 0.003 0.239
0.250 0.497 0.239
0.750 0.503 0.761
0.750 0.997 0.761
0.250 0.750 0.761
0.750 0.250 0.239
0.250 0.250 0.743
0.750 0.750 0.257
0.019 0.750 0.971
0.038 0.750 0.537
0.250 0.530 0.785
0.250 0.970 0.785
0.462 0.750 0.537
0.481 0.750 0.971
0.519 0.250 0.029
0.538 0.250 0.463
0.750 0.030 0.215
0.750 0.470 0.215
0.962 0.250 0.463
0.981 0.250 0.029
```